A relaxed K3Na8Tl2 crystal. Source: Alexandria, functional PBE.

```
13
Lattice="6.804 0.000 0.000 3.402 5.893 0.000 3.402 1.964 13.873" Properties=species:S:1:pos:R:3 pbc="T T T"
K 0.000 0.000 0.000
K 10.207 5.893 7.689
K 3.402 1.964 6.184
Na 10.207 5.893 11.880
Na 3.402 1.964 1.994
Na 5.106 4.909 3.786
Na 6.804 1.968 3.786
Na 8.503 4.909 3.786
Na 6.804 5.889 10.088
Na 8.503 2.948 10.088
Na 5.106 2.948 10.088
Tl 6.804 3.929 1.139
Tl 6.804 3.929 12.735
```

The total moment comes out at 0.000 μB per cell. The value obtained for the formation energy is 0.020 eV/atom. The density of states at the Fermi level comes out at 7.6 states/eV per cell. The energy is -18.3 eV per cell.

=====

A relaxed ZrSi2Ag crystal. Source: Alexandria, functional PBE.

```
4
Lattice="5.404 0.011 -0.019 2.705 4.678 0.019 -4.041 -2.368 2.695" Properties=species:S:1:pos:R:3 pbc="T T T"
Ag 1.360 2.327 1.357
Si 8.101 4.684 0.000
Si 2.713 -0.004 1.338
Zr 4.058 2.347 0.000
```

The uncorrected formation energy is -241 meV/atom. The total moment comes out at 0.000 μB per cell. The density of states at the Fermi level comes out at 1.2 states/eV per cell. The energy is -23.2 eV per cell.